Here is a relaxed SmMg crystal from OQMD. Energies are from PBE-GGA.

* DFT total energy: -37.9 eV/cell
* theoretical density: 5.071 Mg/m³

CIF file:
```
data_SmMg
_cell_length_a 7.242
_cell_length_b 5.443
_cell_length_c 8.890
_cell_angle_alpha 90.00
_cell_angle_beta 101.69
_cell_angle_gamma 90.00
_space_group_name_H-M_alt 'P 1 21/m 1'
_space_group_IT_number 11
loop_
_space_group_symop_operation_xyz
'x,y,z'
'-x,-y,-z'
'-x,y+1/2,-z'
'x,-y+1/2,z'
loop_
_atom_site_label
_atom_site_type_symbol
_atom_site_fract_x
_atom_site_fract_y
_atom_site_fract_z
Sm1 Sm 0.136 0.250 0.043
Sm2 Sm 0.204 0.750 0.305
Sm3 Sm 0.358 0.750 0.932
Mg1 Mg 0.023 0.750 0.617
Mg2 Mg 0.300 0.250 0.689
Mg3 Mg 0.466 0.250 0.383
```